Record 1
Below is YZr2Sc after structural relaxation, with properties calculated at the PBE level.

## Properties
Its offset from the most stable computed form is 74 meV per atom. The value obtained for the formation energy is 0.103 eV/atom. The value obtained for the magnetic moment is 0.00 μB per formula unit. As for the density of states at the Fermi level: 1.4264 states/eV/atom.

```
data_YZr2Sc
_symmetry_space_group_name_H-M 'C m m m'
_symmetry_Int_Tables_number 65
_symmetry_space_group_name_Hall '-C 2 2'
_cell_length_a 6.518
_cell_length_b 9.463
_cell_length_c 3.257
_cell_angle_alpha 90.00
_cell_angle_beta 90.00
_cell_angle_gamma 90.00
loop_
_atom_site_label
_atom_site_type_symbol
_atom_site_fract_x
_atom_site_fract_y
_atom_site_fract_z
_atom_site_occupancy
Y1 Y 0.000 0.000 0.000 1
Zr1 Zr 0.250 0.250 0.500 1
Sc1 Sc 0.000 0.500 0.000 1
```

---

Record 2
Below is YZrSc2 after structural relaxation, with properties calculated at the PBE level.

## Properties
Its offset from the most stable computed form is 46 meV per atom. The value obtained for the formation energy is 0.073 eV/atom. The value obtained for the magnetic moment is 0.00 μB per formula unit. As for the density of states at the Fermi level: 1.5354 states/eV/atom.

```
data_YZrSc2
_symmetry_space_group_name_H-M 'C m m m'
_symmetry_Int_Tables_number 65
_symmetry_space_group_name_Hall '-C 2 2'
_cell_length_a 6.633
_cell_length_b 9.295
_cell_length_c 3.305
_cell_angle_alpha 90.00
_cell_angle_beta 90.00
_cell_angle_gamma 90.00
loop_
_atom_site_label
_atom_site_type_symbol
_atom_site_fract_x
_atom_site_fract_y
_atom_site_fract_z
_atom_site_occupancy
Y1 Y 0.000 0.000 0.000 1
Zr1 Zr 0.000 0.500 0.000 1
Sc1 Sc 0.250 0.250 0.500 1
```

---

Record 3
Below is YZr2Sc after structural relaxation, with properties calculated at the PBE level.

## Properties
Its offset from the most stable computed form is 526 meV per atom. The value obtained for the formation energy is 0.555 eV/atom. The value obtained for the magnetic moment is 1.79 μB per formula unit. As for the density of states at the Fermi level: 1.2671 states/eV/atom.

```
data_YZr2Sc
_symmetry_space_group_name_H-M 'I -4 2 d'
_symmetry_Int_Tables_number 122
_symmetry_space_group_name_Hall 'I -4 2bw'
_cell_length_a 8.121
_cell_length_b 8.121
_cell_length_c 6.255
_cell_angle_alpha 90.00
_cell_angle_beta 90.00
_cell_angle_gamma 90.00
loop_
_atom_site_label
_atom_site_type_symbol
_atom_site_fract_x
_atom_site_fract_y
_atom_site_fract_z
_atom_site_occupancy
Y1 Y 0.000 0.000 0.000 1
Zr1 Zr 0.237 0.250 0.625 1
Sc1 Sc 0.000 0.000 0.500 1
```

---

Record 4
Below is YZr2Sc after structural relaxation, with properties calculated at the PBE level.

## Properties
Its offset from the most stable computed form is 55 meV per atom. The value obtained for the formation energy is 0.083 eV/atom. The value obtained for the magnetic moment is 0.00 μB per formula unit. As for the density of states at the Fermi level: 1.4393 states/eV/atom.

```
data_YZr2Sc
_symmetry_space_group_name_H-M 'R 3 m'
_symmetry_Int_Tables_number 160
_symmetry_space_group_name_Hall 'R 3 -2"'
_cell_length_a 3.3046
_cell_length_b 3.3046
_cell_length_c 32.3270
_cell_angle_alpha 90.00
_cell_angle_beta 90.00
_cell_angle_gamma 120.00
loop_
_atom_site_label
_atom_site_type_symbol
_atom_site_fract_x
_atom_site_fract_y
_atom_site_fract_z
_atom_site_occupancy
Y1 Y 0.0000 0.0000 0.0000 1
Zr1 Zr 0.0000 0.0000 0.2479 1
Zr2 Zr 0.0000 0.0000 0.5038 1
Sc1 Sc 0.0000 0.0000 0.7578 1
```

---

Among the records above, which one has the highest offset from the most stable computed form? number 3

---

Please write out number 3 again, unchanged.
Below is YZr2Sc after structural relaxation, with properties calculated at the PBE level.

## Properties
Its offset from the most stable computed form is 526 meV per atom. The value obtained for the formation energy is 0.555 eV/atom. The value obtained for the magnetic moment is 1.79 μB per formula unit. As for the density of states at the Fermi level: 1.2671 states/eV/atom.

```
data_YZr2Sc
_symmetry_space_group_name_H-M 'I -4 2 d'
_symmetry_Int_Tables_number 122
_symmetry_space_group_name_Hall 'I -4 2bw'
_cell_length_a 8.121
_cell_length_b 8.121
_cell_length_c 6.255
_cell_angle_alpha 90.00
_cell_angle_beta 90.00
_cell_angle_gamma 90.00
loop_
_atom_site_label
_atom_site_type_symbol
_atom_site_fract_x
_atom_site_fract_y
_atom_site_fract_z
_atom_site_occupancy
Y1 Y 0.000 0.000 0.000 1
Zr1 Zr 0.237 0.250 0.625 1
Sc1 Sc 0.000 0.000 0.500 1
```